Crystalline SbMoW2 at its relaxed geometry. Source: Alexandria, functional PBE-GGA.

Properties
Formation energy without anion corrections = 193 kJ/mol of formula units
Size of the total moment = 0.00 μB/atom
VASP energy = -9.716 eV/atom

Cell lengths 2.899, 2.899, 8.957 Å; angles 90.00, 90.00, 110.09 degrees
Atoms (fractional coordinates):
Sb  0.000  0.000  0.000
Mo  0.500  0.500  0.736
W  0.000  0.000  0.502
W  0.500  0.500  0.266

***

Crystalline SbMo2W at its relaxed geometry. Source: Alexandria, functional PBE-GGA.

Properties
Formation energy without anion corrections = 94 kJ/mol of formula units
Size of the total moment = 0.00 μB/atom
VASP energy = -9.441 eV/atom

Cell lengths 5.398, 5.398, 5.398 Å; angles 144.35, 132.08, 61.13 degrees
Atoms (fractional coordinates):
Sb  0.000  0.000  0.000
Mo  0.498  0.498  0.000
Mo  0.747  0.247  0.500
W  0.255  0.755  0.500

***

Crystalline SbMoW2 at its relaxed geometry. Source: Alexandria, functional PBE-GGA.

Properties
Formation energy without anion corrections = 210 kJ/mol of formula units
Size of the total moment = 0.00 μB/atom
VASP energy = -9.671 eV/atom

Cell lengths 4.810, 4.810, 3.173 Å; angles 90.00, 90.00, 109.56 degrees
Atoms (fractional coordinates):
Sb  0.000  0.000  0.000
Mo  0.500  0.500  0.000
W  0.000  0.500  0.500
W  0.500  0.000  0.500

***

Crystalline SbMoW2 at its relaxed geometry. Source: Alexandria, functional PBE-GGA.

Properties
Formation energy without anion corrections = 221 kJ/mol of formula units
Size of the total moment = 0.00 μB/atom
VASP energy = -9.642 eV/atom

Cell lengths 2.880, 2.880, 9.107 Å; angles 90.00, 90.00, 110.25 degrees
Atoms (fractional coordinates):
Sb  0.000  0.000  0.000
Mo  0.000  0.000  0.500
W  0.500  0.500  0.267
W  0.500  0.500  0.733

***

Crystalline SbMo2W at its relaxed geometry. Source: Alexandria, functional PBE-GGA.

Properties
Formation energy without anion corrections = 109 kJ/mol of formula units
Size of the total moment = 0.00 μB/atom
VASP energy = -9.403 eV/atom

Cell lengths 3.260, 3.260, 6.438 Å; angles 90.00, 90.00, 90.00 degrees
Atoms (fractional coordinates):
Sb  0.000  0.000  0.000
Mo  0.500  0.500  0.261
Mo  0.500  0.500  0.739
W  0.000  0.000  0.500

***

Crystalline SbMoW2 at its relaxed geometry. Source: Alexandria, functional PBE-GGA.

Properties
Formation energy without anion corrections = 225 kJ/mol of formula units
Size of the total moment = 0.00 μB/atom
VASP energy = -9.631 eV/atom

Cell lengths 5.359, 5.359, 2.924 Å; angles 99.93, 99.93, 119.04 degrees
Atoms (fractional coordinates):
Sb  0.000  0.000  0.000
Mo  0.500  0.500  0.000
W  0.000  0.500  0.500
W  0.500  0.000  0.500

***

Crystalline SbMo2W at its relaxed geometry. Source: Alexandria, functional PBE-GGA.

Properties
Formation energy without anion corrections = 160 kJ/mol of formula units
Size of the total moment = 0.00 μB/atom
VASP energy = -9.269 eV/atom

Cell lengths 3.279, 4.379, 4.755 Å; angles 90.00, 90.00, 90.00 degrees
Atoms (fractional coordinates):
Sb  0.000  0.000  0.000
Mo  0.000  0.500  0.500
Mo  0.500  0.500  0.000
W  0.500  0.000  0.500

***

Crystalline SbMoW2 at its relaxed geometry. Source: Alexandria, functional PBE-GGA.

Properties
Formation energy without anion corrections = 226 kJ/mol of formula units
Size of the total moment = 0.00 μB/atom
VASP energy = -9.629 eV/atom

Cell lengths 9.045, 9.045, 9.045 Å; angles 19.36, 19.36, 19.36 degrees
Atoms (fractional coordinates):
Sb  0.000  0.000  0.000
Mo  0.500  0.500  0.500
W  0.244  0.244  0.244
W  0.756  0.756  0.756

***

Crystalline SbMo2W at its relaxed geometry. Source: Alexandria, functional PBE-GGA.

Properties
Formation energy without anion corrections = 144 kJ/mol of formula units
Size of the total moment = 0.00 μB/atom
VASP energy = -9.311 eV/atom

Cell lengths 3.327, 3.327, 6.210 Å; angles 90.00, 90.00, 90.00 degrees
Atoms (fractional coordinates):
Sb  0.000  0.000  0.000
Mo  0.000  0.000  0.490
Mo  0.500  0.500  0.762
W  0.500  0.500  0.276

***

Crystalline SbMo2W at its relaxed geometry. Source: Alexandria, functional PBE-GGA.

Properties
Formation energy without anion corrections = 136 kJ/mol of formula units
Size of the total moment = 0.00 μB/atom
VASP energy = -9.332 eV/atom

Cell lengths 3.085, 4.136, 5.505 Å; angles 90.00, 90.07, 90.00 degrees
Atoms (fractional coordinates):
Sb  0.000  0.000  0.000
Mo  0.499  0.500  0.720
Mo  0.501  0.500  0.280
W  0.000  0.000  0.500

***

Crystalline SbMo2W at its relaxed geometry. Source: Alexandria, functional PBE-GGA.

Properties
Formation energy without anion corrections = 164 kJ/mol of formula units
Size of the total moment = 0.00 μB/atom
VASP energy = -9.260 eV/atom

Cell lengths 8.642, 8.642, 8.642 Å; angles 20.86, 20.86, 20.86 degrees
Atoms (fractional coordinates):
Sb  0.000  0.000  0.000
Mo  0.244  0.244  0.244
Mo  0.756  0.756  0.756
W  0.500  0.500  0.500

***

Crystalline SbMo2W at its relaxed geometry. Source: Alexandria, functional PBE-GGA.

Properties
Formation energy without anion corrections = 165 kJ/mol of formula units
Size of the total moment = 0.00 μB/atom
VASP energy = -9.258 eV/atom

Cell lengths 4.573, 4.573, 4.573 Å; angles 60.00, 60.00, 60.00 degrees
Atoms (fractional coordinates):
Sb  0.000  0.000  0.000
Mo  0.500  0.500  0.500
Mo  0.750  0.750  0.750
W  0.250  0.250  0.250

***

Crystalline SbMoW2 at its relaxed geometry. Source: Alexandria, functional PBE-GGA.

Properties
Formation energy without anion corrections = 172 kJ/mol of formula units
Size of the total moment = 0.00 μB/atom
VASP energy = -9.770 eV/atom

Cell lengths 3.252, 4.442, 4.732 Å; angles 90.00, 90.00, 90.00 degrees
Atoms (fractional coordinates):
Sb  0.000  0.000  0.000
Mo  0.500  0.500  0.000
W  0.000  0.500  0.500
W  0.500  0.000  0.500

***

Crystalline SbMoW2 at its relaxed geometry. Source: Alexandria, functional PBE-GGA.

Properties
Formation energy without anion corrections = 192 kJ/mol of formula units
Size of the total moment = 0.00 μB/atom
VASP energy = -9.716 eV/atom

Cell lengths 3.282, 3.282, 6.394 Å; angles 90.00, 90.00, 90.00 degrees
Atoms (fractional coordinates):
Sb  0.000  0.000  0.000
Mo  0.000  0.000  0.500
W  0.500  0.500  0.263
W  0.500  0.500  0.737

***

Crystalline SbMoW at its relaxed geometry. Source: Alexandria, functional PBE-GGA.

Properties
Formation energy without anion corrections = 161 kJ/mol of formula units
Size of the total moment = 0.00 μB/atom
Relative energy among the computed polymorphs = 136 meV per atom
VASP energy = -8.748 eV/atom

Cell lengths 4.603, 4.603, 2.923 Å; angles 90.00, 90.00, 120.00 degrees
Atoms (fractional coordinates):
Sb  0.000  0.000  0.000
Mo  0.333  0.667  0.956
W  0.667  0.333  0.562

***

Crystalline SbMo2W at its relaxed geometry. Source: Alexandria, functional PBE-GGA.

Properties
Formation energy without anion corrections = 355 kJ/mol of formula units
Size of the total moment = 0.00 μB/atom
VASP energy = -8.765 eV/atom

Cell lengths 10.008, 10.008, 10.008 Å; angles 157.27, 157.27, 32.36 degrees
Atoms (fractional coordinates):
Sb  0.000  0.000  0.000
Sb  0.750  0.250  0.500
Mo  0.094  0.625  0.969
Mo  0.375  0.344  0.469
Mo  0.656  0.125  0.031
Mo  0.875  0.906  0.531
W  0.250  0.750  0.500
W  0.500  0.500  0.000

***

Crystalline SbMo2W at its relaxed geometry. Source: Alexandria, functional PBE-GGA.

Properties
Formation energy without anion corrections = 188 kJ/mol of formula units
Size of the total moment = 0.00 μB/atom
VASP energy = -9.197 eV/atom

Cell lengths 5.249, 5.249, 2.932 Å; angles 101.76, 101.76, 113.41 degrees
Atoms (fractional coordinates):
Sb  0.000  0.000  0.000
Mo  0.000  0.500  0.500
Mo  0.500  0.000  0.500
W  0.500  0.500  0.000

***

Crystalline SbMo2W at its relaxed geometry. Source: Alexandria, functional PBE-GGA.

Properties
Formation energy without anion corrections = 194 kJ/mol of formula units
Size of the total moment = 0.00 μB/atom
VASP energy = -9.182 eV/atom

Cell lengths 8.677, 8.677, 8.677 Å; angles 20.71, 20.71, 20.71 degrees
Atoms (fractional coordinates):
Sb  0.000  0.000  0.000
Mo  0.244  0.244  0.244
Mo  0.501  0.501  0.501
W  0.757  0.757  0.757

***

Crystalline SbMoW2 at its relaxed geometry. Source: Alexandria, functional PBE-GGA.

Properties
Formation energy without anion corrections = 176 kJ/mol of formula units
Size of the total moment = 0.00 μB/atom
VASP energy = -9.759 eV/atom

Cell lengths 4.580, 4.580, 4.580 Å; angles 60.00, 60.00, 60.00 degrees
Atoms (fractional coordinates):
Sb  0.000  0.000  0.000
Mo  0.750  0.750  0.750
W  0.250  0.250  0.250
W  0.500  0.500  0.500

***

Crystalline SbMoW2 at its relaxed geometry. Source: Alexandria, functional PBE-GGA.

Properties
Formation energy without anion corrections = 200 kJ/mol of formula units
Size of the total moment = 0.00 μB/atom
VASP energy = -9.698 eV/atom

Cell lengths 8.765, 8.765, 8.765 Å; angles 20.43, 20.43, 20.43 degrees
Atoms (fractional coordinates):
Sb  0.000  0.000  0.000
Mo  0.244  0.244  0.244
W  0.501  0.501  0.501
W  0.756  0.756  0.756

***

Crystalline SbMo3W at its relaxed geometry. Source: Alexandria, functional PBE-GGA.

Properties
Formation energy without anion corrections = 1143 kJ/mol of formula units
Size of the total moment = 0.00 μB/atom
Relative energy among the computed polymorphs = 722 meV per atom
VASP energy = -7.545 eV/atom

Cell lengths 4.770, 4.770, 4.770 Å; angles 90.00, 90.00, 90.00 degrees
Atoms (fractional coordinates):
Sb  0.000  0.000  0.000
Mo  0.000  0.000  0.500
Mo  0.000  0.500  0.000
Mo  0.500  0.000  0.000
W  0.500  0.500  0.500

***

Crystalline SbMoW at its relaxed geometry. Source: Alexandria, functional PBE-GGA.

Properties
Formation energy without anion corrections = 155 kJ/mol of formula units
Size of the total moment = 0.00 μB/atom
Relative energy among the computed polymorphs = 117 meV per atom
VASP energy = -8.767 eV/atom

Cell lengths 4.421, 4.421, 4.421 Å; angles 60.00, 60.00, 60.00 degrees
Atoms (fractional coordinates):
Sb  0.000  0.000  0.000
Mo  0.250  0.250  0.250
W  0.500  0.500  0.500

***

Crystalline SbMoW at its relaxed geometry. Source: Alexandria, functional PBE-GGA.

Properties
Formation energy without anion corrections = 131 kJ/mol of formula units
Size of the total moment = 0.00 μB/atom
Relative energy among the computed polymorphs = 35 meV per atom
VASP energy = -8.849 eV/atom

Cell lengths 3.155, 3.155, 6.615 Å; angles 90.00, 90.00, 120.00 degrees
Atoms (fractional coordinates):
Sb  0.000  0.000  0.000
Mo  0.333  0.667  0.636
W  0.667  0.333  0.365

***

Crystalline SbMoW2 at its relaxed geometry. Source: Alexandria, functional PBE-GGA.

Properties
Formation energy without anion corrections = 154 kJ/mol of formula units
Size of the total moment = 0.00 μB/atom
VASP energy = -9.815 eV/atom

Cell lengths 3.258, 3.258, 6.498 Å; angles 90.00, 90.00, 90.00 degrees
Atoms (fractional coordinates):
Sb  0.000  0.000  0.000
Mo  0.500  0.500  0.742
W  0.000  0.000  0.500
W  0.500  0.500  0.267

***

Crystalline SbMo4W at its relaxed geometry. Source: Alexandria, functional PBE-GGA.

Properties
Formation energy without anion corrections = 255 kJ/mol of formula units
Size of the total moment = 0.00 μB/atom
VASP energy = -9.626 eV/atom

Cell lengths 5.261, 5.261, 5.261 Å; angles 60.00, 60.00, 60.00 degrees
Atoms (fractional coordinates):
Sb  0.000  0.000  0.000
Mo  0.374  0.374  0.374
Mo  0.374  0.374  0.877
Mo  0.374  0.877  0.374
Mo  0.877  0.374  0.374
W  0.750  0.750  0.750

***

Crystalline SbMo3W at its relaxed geometry. Source: Alexandria, functional PBE-GGA.

Properties
Formation energy without anion corrections = 795 kJ/mol of formula units
Size of the total moment = 0.40 μB/atom
Relative energy among the computed polymorphs = 0 meV per atom
VASP energy = -8.267 eV/atom

Cell lengths 4.808, 4.808, 4.808 Å; angles 90.00, 90.00, 90.00 degrees
Atoms (fractional coordinates):
Sb  0.000  0.000  0.000
Mo  0.000  0.500  0.500
Mo  0.500  0.000  0.500
Mo  0.500  0.500  0.000
W  0.500  0.500  0.500

***

Crystalline YSb2MoW at its relaxed geometry. Source: Alexandria, functional PBE-GGA.

Properties
Formation energy without anion corrections = 1136 kJ/mol of formula units
Size of the total moment = 0.10 μB/atom
VASP energy = -5.344 eV/atom

Cell lengths 5.462, 5.462, 4.825 Å; angles 90.00, 90.00, 90.00 degrees
Atoms (fractional coordinates):
Y  0.000  0.000  0.000
Sb  0.000  0.500  0.000
Sb  0.500  0.000  0.000
Mo  0.500  0.500  0.500
W  0.000  0.000  0.500

***

Crystalline Zr2SbMoW at its relaxed geometry. Source: Alexandria, functional PBE-GGA.

Properties
Formation energy without anion corrections = 828 kJ/mol of formula units
Size of the total moment = 0.00 μB/atom
VASP energy = -7.283 eV/atom

Cell lengths 5.160, 5.160, 4.781 Å; angles 90.00, 90.00, 90.00 degrees
Atoms (fractional coordinates):
Zr  0.000  0.500  0.000
Zr  0.500  0.000  0.000
Sb  0.000  0.000  0.000
Mo  0.000  0.000  0.500
W  0.500  0.500  0.500

***

Crystalline YSbMo2 at its relaxed geometry. Source: Alexandria, functional PBE-GGA.

Properties
Formation energy without anion corrections = 112 kJ/mol of formula units
Size of the total moment = 0.00 μB/atom
VASP energy = -7.773 eV/atom

Cell lengths 5.582, 5.582, 5.582 Å; angles 136.89, 136.89, 62.60 degrees
Atoms (fractional coordinates):
Y  0.000  0.000  0.000
Sb  0.500  0.500  0.000
Mo  0.250  0.750  0.500
Mo  0.750  0.250  0.500

***

Crystalline YSbMo at its relaxed geometry. Source: Alexandria, functional PBE-GGA.

Properties
Formation energy without anion corrections = -10 kJ/mol of formula units
Size of the total moment = 0.19 μB/atom
Relative energy among the computed polymorphs = 136 meV per atom
VASP energy = -7.172 eV/atom

Cell lengths 4.660, 4.660, 3.715 Å; angles 90.00, 90.00, 120.00 degrees
Atoms (fractional coordinates):
Y  0.000  0.000  0.000
Sb  0.333  0.667  0.500
Mo  0.667  0.333  0.500